The following is a DFT calculation (GGA-PBE) of an optimized crystal structure of PtRhW3.

Lattice parameters (Å, degrees): 4.7286 4.7286 4.7286 90.00 90.00 90.00
With the nearest neighbours (Å) after each atom.
Fractional positions:
W 0.0000 0.5000 0.0000  2 Pt 2.36
W 0.5000 0.0000 0.0000  2 Pt 2.36
Pt 0.0000 0.0000 0.0000  6 W 2.36
Rh 0.5000 0.5000 0.5000  12 W 3.34
W 0.0000 0.0000 0.5000  2 Pt 2.36

## Properties
E_form, eV/atom: 2.213
M_tot, μB/f.u.: 0.0
Offset from the most stable computed form, meV per atom: 287.2
Volume, A^3/atom: 21.146

=====

The following is a DFT calculation (GGA-PBE) of an optimized crystal structure of PtRh3W.

Lattice parameters (Å, degrees): 4.7721 5.4988 7.2928 112.28 122.90 73.01
With the nearest neighbours (Å) after each atom.
Fractional positions:
W 0.6216 0.7339 0.2838  9 Rh 2.70-2.76, 2 Pt 2.70-2.75, 1 W 2.88
Rh 0.2181 0.9352 0.4749  5 Rh 2.68-2.83, 3 W 2.70-2.76, 4 Pt 2.72-2.81
Rh 0.0097 0.5515 0.0826  7 Rh 2.68-2.84, 3 W 2.71-2.76, 2 Pt 2.73-2.81
Rh 0.0343 0.0270 0.0715  7 Rh 2.68-2.84, 3 W 2.71-2.76, 2 Pt 2.73-2.81
Rh 0.4189 0.3494 0.8822  6 Rh 2.72-2.84, 3 W 2.72-2.76, 3 Pt 2.75-2.81
Pt 0.8299 0.1370 0.6792  2 W 2.70-2.75, 9 Rh 2.72-2.81, 1 Pt 2.81
W 0.4223 0.8445 0.8703  9 Rh 2.70-2.76, 2 Pt 2.70-2.75, 1 W 2.88
Rh 0.6250 0.2291 0.2718  6 Rh 2.72-2.84, 3 W 2.72-2.76, 3 Pt 2.75-2.81
Pt 0.2141 0.4414 0.4749  2 W 2.70-2.75, 9 Rh 2.72-2.81, 1 Pt 2.81
Rh 0.8258 0.6432 0.6791  5 Rh 2.68-2.83, 3 W 2.70-2.76, 4 Pt 2.72-2.81

## Properties
E_form, eV/atom: -0.183
M_tot, μB/f.u.: 0.0
Offset from the most stable computed form, meV per atom: 0.0
Volume, A^3/atom: 14.777

=====

The following is a DFT calculation (GGA-PBE) of an optimized crystal structure of PtRhW2.

Lattice parameters (Å, degrees): 9.3923 9.3923 9.3923 17.10 17.10 17.10
With the nearest neighbours (Å) after each atom.
Fractional positions:
Rh 0.2525 0.2525 0.2525  3 W 2.66, 6 Rh 2.79, 3 Pt 2.88
W 0.9956 0.9956 0.9956  3 Rh 2.66, 9 W 2.79-2.97
W 0.7521 0.7521 0.7521  3 Pt 2.77, 9 W 2.79-2.97
Pt 0.4998 0.4998 0.4998  3 W 2.77, 6 Pt 2.79, 3 Rh 2.88

## Properties
E_form, eV/atom: -0.029
M_tot, μB/f.u.: 0.0
Offset from the most stable computed form, meV per atom: 204.4
Volume, A^3/atom: 15.616

=====

The following is a DFT calculation (GGA-PBE) of an optimized crystal structure of Pt2RhW2.

Lattice parameters (Å, degrees): 4.8261 5.5075 6.3323 102.54 105.23 73.44
With the nearest neighbours (Å) after each atom.
Fractional positions:
W 0.3975 0.8495 0.7975  4 W 2.75-2.84, 5 Pt 2.77-2.83, 3 Rh 2.80
Pt 0.2012 0.5483 0.3931  5 Pt 2.75-2.86, 5 W 2.77-2.83, 2 Rh 2.77-2.78
W 0.6025 0.1505 0.2025  4 W 2.75-2.84, 5 Pt 2.77-2.83, 3 Rh 2.80
Pt 0.7988 0.4517 0.6069  5 Pt 2.75-2.86, 5 W 2.77-2.83, 2 Rh 2.77-2.78
Pt 0.7988 0.9517 0.6069  5 Pt 2.75-2.86, 5 W 2.77-2.83, 2 Rh 2.77-2.78
W 0.3975 0.3495 0.7975  4 W 2.75-2.84, 5 Pt 2.77-2.83, 3 Rh 2.80
Rh 0.0000 0.2500 0.0000  2 Rh 2.75, 4 Pt 2.77-2.78, 6 W 2.80
W 0.6025 0.6505 0.2025  4 W 2.75-2.84, 5 Pt 2.77-2.83, 3 Rh 2.80
Pt 0.2012 0.0483 0.3931  5 Pt 2.75-2.86, 5 W 2.77-2.83, 2 Rh 2.77-2.78
Rh 0.0000 0.7500 0.0000  2 Rh 2.75, 4 Pt 2.77-2.78, 6 W 2.80

## Properties
E_form, eV/atom: -0.205
M_tot, μB/f.u.: 0.0
Volume, A^3/atom: 15.381

=====

The following is a DFT calculation (GGA-PBE) of an optimized crystal structure of Pt3Rh3W.

Lattice parameters (Å, degrees): 5.4440 5.4440 7.6865 90.00 90.00 86.18
With the nearest neighbours (Å) after each atom.
Fractional positions:
Pt 0.6951 0.3049 0.0000  4 W 2.64-2.87, 6 Rh 2.74-2.93, 1 Pt 2.90
Rh 0.0000 0.0000 0.2416  2 W 2.56, 4 Rh 2.72, 4 Pt 2.74-2.86
Pt 0.2594 0.2594 0.5000  4 Pt 2.65-2.79, 6 Rh 2.74-2.86
Rh 0.0000 0.5000 0.2386  2 W 2.62, 2 Rh 2.72, 6 Pt 2.74-2.83
Rh 0.0000 0.0000 0.7584  2 W 2.56, 4 Rh 2.72, 4 Pt 2.74-2.86
W 0.2222 0.2222 0.0000  6 Rh 2.56-2.62, 2 Pt 2.64
Pt 0.2532 0.7468 0.5000  4 Pt 2.65-2.79, 6 Rh 2.74-2.83
Pt 0.7468 0.2532 0.5000  4 Pt 2.65-2.79, 6 Rh 2.74-2.83
Pt 0.7406 0.7406 0.5000  4 Pt 2.65-2.79, 6 Rh 2.74-2.86
Pt 0.3049 0.6951 0.0000  4 W 2.64-2.87, 6 Rh 2.74-2.93, 1 Pt 2.90
Rh 0.5000 0.0000 0.7614  2 W 2.62, 2 Rh 2.72, 6 Pt 2.74-2.83
W 0.7778 0.7778 0.0000  6 Rh 2.56-2.62, 2 Pt 2.64
Rh 0.5000 0.0000 0.2386  2 W 2.62, 2 Rh 2.72, 6 Pt 2.74-2.83
Rh 0.0000 0.5000 0.7614  2 W 2.62, 2 Rh 2.72, 6 Pt 2.74-2.83

## Properties
E_form, eV/atom: 0.006
M_tot, μB/f.u.: 0.0
Offset from the most stable computed form, meV per atom: 164.4
Volume, A^3/atom: 16.236

=====

The following is a DFT calculation (GGA-PBE) of an optimized crystal structure of Pt4Rh3W.

Lattice parameters (Å, degrees): 2.7082 4.6511 12.3453 115.44 96.30 90.00
With the nearest neighbours (Å) after each atom.
Fractional positions:
W 0.5000 0.0000 0.0000  2 Pt 2.51, 4 Rh 2.69, 2 W 2.71
Pt 0.5976 0.9477 0.1952  1 W 2.51, 4 Rh 2.68-2.76, 2 Pt 2.71
Pt 0.6946 0.7787 0.3892  5 Rh 2.67-2.77, 5 Pt 2.71-2.94
Pt 0.4024 0.0523 0.8048  1 W 2.51, 4 Rh 2.68-2.76, 2 Pt 2.71
Rh 0.8005 0.7049 0.6010  7 Pt 2.67-2.77, 4 Rh 2.71-2.74
Rh 0.0000 0.5000 0.0000  4 W 2.69, 2 Rh 2.71, 4 Pt 2.76
Rh 0.1995 0.2951 0.3990  7 Pt 2.67-2.77, 4 Rh 2.71-2.74
Pt 0.3054 0.2213 0.6108  5 Rh 2.67-2.77, 5 Pt 2.71-2.94

## Properties
E_form, eV/atom: 0.286
M_tot, μB/f.u.: 0.0
Offset from the most stable computed form, meV per atom: 313.6
Volume, A^3/atom: 17.423

=====

The following is a DFT calculation (GGA-PBE) of an optimized crystal structure of Pt8Rh6W.

Lattice parameters (Å, degrees): 5.3166 7.3560 7.3560 120.00 90.00 90.00
With the nearest neighbours (Å) after each atom.
Fractional positions:
Pt 0.8546 0.2749 0.9677  3 Pt 2.64-2.65, 5 Rh 2.64-2.90, 1 W 2.86
W 0.5000 0.0000 0.0000  6 Rh 2.73, 6 Pt 2.86
Rh 0.3632 0.0494 0.3796  7 Pt 2.64-2.90, 1 Rh 2.66, 1 W 2.73
Pt 0.6717 0.3333 0.6667  3 Pt 2.64, 6 Rh 2.66-2.67
Pt 0.1454 0.3072 0.2749  3 Pt 2.64-2.65, 5 Rh 2.64-2.90, 1 W 2.86
Rh 0.6368 0.3796 0.3301  7 Pt 2.64-2.90, 1 Rh 2.66, 1 W 2.73
Pt 0.8546 0.0323 0.3072  3 Pt 2.64-2.65, 5 Rh 2.64-2.90, 1 W 2.86
Rh 0.3632 0.6204 0.6699  7 Pt 2.64-2.90, 1 Rh 2.66, 1 W 2.73
Rh 0.6368 0.6699 0.0494  7 Pt 2.64-2.90, 1 Rh 2.66, 1 W 2.73
Pt 0.1454 0.7251 0.0323  3 Pt 2.64-2.65, 5 Rh 2.64-2.90, 1 W 2.86
Pt 0.3283 0.6667 0.3333  3 Pt 2.64, 6 Rh 2.66-2.67
Rh 0.6368 0.9506 0.6204  7 Pt 2.64-2.90, 1 Rh 2.66, 1 W 2.73
Pt 0.1454 0.9677 0.6928  3 Pt 2.64-2.65, 5 Rh 2.64-2.90, 1 W 2.86
Rh 0.3632 0.3301 0.9506  7 Pt 2.64-2.90, 1 Rh 2.66, 1 W 2.73
Pt 0.8546 0.6928 0.7251  3 Pt 2.64-2.65, 5 Rh 2.64-2.90, 1 W 2.86

## Properties
E_form, eV/atom: 0.164
M_tot, μB/f.u.: 0.0
Offset from the most stable computed form, meV per atom: 0.0
Volume, A^3/atom: 16.610

=====

The following is a DFT calculation (GGA-PBE) of an optimized crystal structure of PtRhW2.

Lattice parameters (Å, degrees): 4.0743 3.8727 3.8727 90.00 90.00 90.00
With the nearest neighbours (Å) after each atom.
Fractional positions:
Pt 0.5000 0.0000 0.5000  4 Rh 2.74, 8 W 2.81
W 0.0000 0.0000 0.0000  4 W 2.74, 4 Rh 2.81, 4 Pt 2.81
Rh 0.5000 0.5000 0.0000  4 Pt 2.74, 8 W 2.81
W 0.0000 0.5000 0.5000  4 W 2.74, 4 Pt 2.81, 4 Rh 2.81

## Properties
E_form, eV/atom: -0.203
M_tot, μB/f.u.: 0.0
Offset from the most stable computed form, meV per atom: 30.8
Volume, A^3/atom: 15.276

=====

The following is a DFT calculation (GGA-PBE) of an optimized crystal structure of Pt2Rh3W.

Lattice parameters (Å, degrees): 4.4441 4.8477 8.3265 90.00 90.00 90.00
With the nearest neighbours (Å) after each atom.
Fractional positions:
Pt 0.5000 0.1111 0.4172  8 Rh 2.74-2.82, 4 Pt 2.79
Pt 0.0000 0.9484 0.2387  3 W 2.67-2.78, 7 Rh 2.72-2.89, 2 Pt 2.79
Rh 0.5000 0.1231 0.0790  3 Pt 2.72-2.82, 5 Rh 2.73-2.85, 4 W 2.75-2.77
W 0.0000 0.9552 0.9053  7 Rh 2.66-2.77, 3 Pt 2.67-2.78, 2 W 2.89
Rh 0.0000 0.9502 0.5858  1 W 2.66, 4 Rh 2.73-2.81, 7 Pt 2.74-2.89
Pt 0.0000 0.4484 0.7613  3 W 2.67-2.78, 7 Rh 2.72-2.89, 2 Pt 2.79
Rh 0.0000 0.4502 0.4142  1 W 2.66, 4 Rh 2.73-2.81, 7 Pt 2.74-2.89
Rh 0.5000 0.1133 0.7507  2 W 2.68, 5 Rh 2.73-2.85, 5 Pt 2.75-2.81
Pt 0.5000 0.6111 0.5828  8 Rh 2.74-2.82, 4 Pt 2.79
W 0.0000 0.4552 0.0947  7 Rh 2.66-2.77, 3 Pt 2.67-2.78, 2 W 2.89
Rh 0.5000 0.6231 0.9210  3 Pt 2.72-2.82, 5 Rh 2.73-2.85, 4 W 2.75-2.77
Rh 0.5000 0.6133 0.2493  2 W 2.68, 5 Rh 2.73-2.85, 5 Pt 2.75-2.81

## Properties
E_form, eV/atom: -0.149
M_tot, μB/f.u.: 0.0
Offset from the most stable computed form, meV per atom: 4.3
Volume, A^3/atom: 14.949

=====

The following is a DFT calculation (GGA-PBE) of an optimized crystal structure of Pt3Rh2W3.

Lattice parameters (Å, degrees): 4.5165 4.7347 6.6498 109.78 109.85 90.00
With the nearest neighbours (Å) after each atom.
Fractional positions:
W 0.1378 0.6989 0.2757  1 W 2.60, 4 Rh 2.66-2.76, 5 Pt 2.71-2.91
Rh 0.2505 0.3187 0.5010  5 W 2.66-2.95, 5 Pt 2.70-2.92, 2 Rh 2.84
W 0.8622 0.3011 0.7243  1 W 2.60, 4 Rh 2.66-2.76, 5 Pt 2.71-2.91
Rh 0.7495 0.6813 0.4990  5 W 2.66-2.95, 5 Pt 2.70-2.92, 2 Rh 2.84
Pt 0.3702 0.9207 0.7404  1 Pt 2.64, 4 Rh 2.70-2.80, 5 W 2.71-2.91
W 0.0000 0.0000 0.0000  2 W 2.60, 4 Pt 2.73
Pt 0.6298 0.0793 0.2596  1 Pt 2.64, 4 Rh 2.70-2.80, 5 W 2.71-2.91
Pt 0.5000 0.5000 0.0000  2 Pt 2.64, 4 W 2.79, 2 Rh 2.92

## Properties
E_form, eV/atom: -0.075
M_tot, μB/f.u.: 0.0
Volume, A^3/atom: 15.599